Record 1
Compound: Ho7Cd2Ru2
Source: Alexandria via LeMat-Bulk
Functional: PBE
Structure: relaxed

The structure in POSCAR format:
```
Ho7Cd2Ru2
1.0
-2.297 2.089 2.090
-8.532 -1.727 -4.297
-6.153 -6.735 3.322
Ho Cd Ru
7 2 2
Cartesian
-4.323 -0.339 2.292 Ho
-10.945 -4.938 2.963 Ho
-7.364 -5.558 4.167 Ho
-7.033 -1.283 0.257 Ho
-10.396 -4.148 -0.575 Ho
-12.184 -7.034 0.346 Ho
-4.898 -3.832 1.801 Ho
-7.944 -2.964 -2.415 Cd
-8.156 -3.890 1.629 Cd
-13.070 -4.340 0.031 Ru
-4.401 -1.002 -0.483 Ru
```

Values from the calculation:
**Formation energy from the elements**: -0.28 eV/atom
**Density**: 8.993 g cm⁻³
**E_tot**: -5.049 eV per atom
**Energy above the most stable polymorph in this dataset**: 0 meV/atom
**Total moment**: 0.00 μB per atom



Record 2
Compound: Ho3Cd2Ru
Source: Alexandria via LeMat-Bulk
Functional: PBE
Structure: relaxed

The structure in POSCAR format:
```
Ho3Cd2Ru
1.0
5.024 -0.001 0.021
2.510 7.478 0.011
-0.032 0.000 7.547
Ho Cd Ru
6 4 2
Cartesian
4.999 2.608 5.906 Ho
2.505 -0.001 1.749 Ho
2.504 4.869 1.672 Ho
5.017 2.608 1.683 Ho
2.486 4.869 5.895 Ho
2.488 -0.001 5.819 Ho
0.000 0.000 0.000 Cd
-0.016 0.000 3.773 Cd
2.500 2.479 3.784 Cd
5.002 4.998 3.794 Cd
2.511 2.440 0.011 Ru
5.023 5.037 0.021 Ru
```

Values from the calculation:
**Formation energy from the elements**: -0.37 eV/atom
**Density**: 9.612 g cm⁻³
**E_tot**: -4.513 eV per atom
**Total moment**: 0.00 μB per atom



Record 3
Compound: Ho7Cd2Ru2
Source: Alexandria via LeMat-Bulk
Functional: PBE
Structure: relaxed

The structure in POSCAR format:
```
Ho7Cd2Ru2
1.0
-0.887 4.814 4.591
2.721 -4.291 5.024
6.119 0.786 -2.643
Ho Cd Ru
7 2 2
Cartesian
3.743 -0.684 -0.060 Ho
1.595 -0.807 6.059 Ho
5.097 -2.821 2.442 Ho
0.240 1.330 3.557 Ho
0.000 0.000 0.000 Ho
4.684 -0.460 4.792 Ho
3.270 1.769 2.181 Ho
5.666 2.462 4.116 Cd
2.288 -1.153 2.857 Cd
1.171 3.631 2.467 Ru
6.782 -2.322 4.506 Ru
```

Values from the calculation:
**Formation energy from the elements**: -0.20 eV/atom
**Density**: 8.570 g cm⁻³
**E_tot**: -4.971 eV per atom
**Energy above the most stable polymorph in this dataset**: 78 meV/atom
**Total moment**: 0.00 μB per atom